[1]
# GGA-PBE VSNCl2, relaxed
# Magnetic moment ... 2.8 μB/cell
# Space-group type ... No. 123
# Energy above the lowest structure with this stoichiometry ... 0.00 eV per formula unit
data_VSNCl2
_cell_length_a 4.784
_cell_length_b 4.784
_cell_length_c 4.474
_cell_angle_alpha 90.00
_cell_angle_beta 90.00
_cell_angle_gamma 90.00
_space_group_name_H-M_alt 'P 1'
_space_group_IT_number 1
_space_group_name_Hall 'P 1'
loop_
_atom_site_label
_atom_site_fract_x
_atom_site_fract_y
_atom_site_fract_z
N1 0.500 0.500 0.500
S1 0.000 0.000 0.500
Cl1 0.000 0.500 0.000
Cl2 0.500 0.000 0.000
V1 0.000 0.000 0.000

***

[2]
# GGA-PBE PaGa2W, relaxed
# Magnetic moment ... 0.0 μB/cell
# Energy of formation from the pure elements ... 0.331 eV/atom
# Space-group type ... No. 166
data_PaGa2W
_cell_length_a 2.925
_cell_length_b 2.925
_cell_length_c 10.718
_cell_angle_alpha 82.16
_cell_angle_beta 82.16
_cell_angle_gamma 60.00
_space_group_name_H-M_alt 'P 1'
_space_group_IT_number 1
_space_group_name_Hall 'P 1'
loop_
_atom_site_label
_atom_site_fract_x
_atom_site_fract_y
_atom_site_fract_z
Pa1 0.000 0.000 0.000
Ga1 0.096 0.096 0.712
Ga2 0.904 0.904 0.288
W1 0.500 0.500 0.500

***

[3]
# GGA-PBE Ca2MnCl, relaxed
# Magnetic moment ... 3.9 μB/cell
# Space-group type ... No. 225
# Energy above the lowest structure with this stoichiometry ... 1.68 eV per formula unit
data_Ca2MnCl
_cell_length_a 5.402
_cell_length_b 5.402
_cell_length_c 5.402
_cell_angle_alpha 60.00
_cell_angle_beta 60.00
_cell_angle_gamma 60.00
_space_group_name_H-M_alt 'P 1'
_space_group_IT_number 1
_space_group_name_Hall 'P 1'
loop_
_atom_site_label
_atom_site_fract_x
_atom_site_fract_y
_atom_site_fract_z
Ca1 0.250 0.250 0.250
Ca2 0.750 0.750 0.750
Mn1 0.500 0.500 0.500
Cl1 0.000 0.000 0.000

***

[4]
# GGA-PBE AcPr2Mg2Ge2, relaxed
# Magnetic moment ... 0.0 μB/cell
# Energy of formation from the pure elements ... -0.356 eV/atom
# Space-group type ... No. 166
data_AcPr2Mg2Ge2
_cell_length_a 4.740
_cell_length_b 4.740
_cell_length_c 10.167
_cell_angle_alpha 76.52
_cell_angle_beta 76.52
_cell_angle_gamma 60.00
_space_group_name_H-M_alt 'P 1'
_space_group_IT_number 1
_space_group_name_Hall 'P 1'
loop_
_atom_site_label
_atom_site_fract_x
_atom_site_fract_y
_atom_site_fract_z
Ac1 0.000 0.000 0.000
Pr1 0.133 0.133 0.601
Pr2 0.867 0.867 0.399
Mg1 0.591 0.591 0.228
Mg2 0.409 0.409 0.772
Ge1 0.742 0.742 0.773
Ge2 0.258 0.258 0.227

***

[5]
# GGA-PBE Ga12Sn5Au3, relaxed
# Magnetic moment ... 0.0 μB/cell
# Energy of formation from the pure elements ... 0.016 eV/atom
# Space-group type ... No. 230
data_Ga12Sn5Au3
_cell_length_a 13.595
_cell_length_b 13.595
_cell_length_c 13.595
_cell_angle_alpha 109.47
_cell_angle_beta 109.47
_cell_angle_gamma 109.47
_space_group_name_H-M_alt 'P 1'
_space_group_IT_number 1
_space_group_name_Hall 'P 1'
loop_
_atom_site_label
_atom_site_fract_x
_atom_site_fract_y
_atom_site_fract_z
Au1 0.750 0.375 0.125
Au2 0.875 0.750 0.125
Au3 0.375 0.750 0.625
Au4 0.250 0.125 0.375
Au5 0.875 0.125 0.250
Au6 0.375 0.625 0.250
Au7 0.625 0.375 0.750
Au8 0.125 0.875 0.750
Au9 0.750 0.875 0.625
Au10 0.625 0.250 0.375
Au11 0.125 0.250 0.875
Au12 0.250 0.625 0.875
Sn1 0.125 0.375 0.250
Sn2 0.000 0.500 0.000
Sn3 0.000 0.000 0.000
Sn4 0.375 0.250 0.125
Sn5 0.500 0.000 0.500
Sn6 0.500 0.500 0.000
Sn7 0.125 0.750 0.375
Sn8 0.750 0.125 0.875
Sn9 0.750 0.625 0.375
Sn10 0.375 0.125 0.750
Sn11 0.625 0.875 0.250
Sn12 0.500 0.500 0.500
Sn13 0.500 0.000 0.000
Sn14 0.000 0.000 0.500
Sn15 0.250 0.375 0.625
Sn16 0.250 0.875 0.125
Sn17 0.000 0.500 0.500
Sn18 0.875 0.250 0.625
Sn19 0.625 0.750 0.875
Sn20 0.875 0.625 0.750
Ga1 0.740 0.136 0.072
Ga2 0.331 0.572 0.436
Ga3 0.928 0.364 0.260
Ga4 0.572 0.240 0.136
Ga5 0.605 0.740 0.669
Ga6 0.928 0.564 0.169
Ga7 0.331 0.760 0.395
Ga8 0.064 0.895 0.136
Ga9 0.564 0.928 0.669
Ga10 0.740 0.605 0.169
Ga11 0.760 0.428 0.364
Ga12 0.831 0.936 0.072
Ga13 0.136 0.740 0.572
Ga14 0.364 0.436 0.105
Ga15 0.105 0.936 0.364
Ga16 0.395 0.136 0.564
Ga17 0.105 0.169 0.240
Ga18 0.428 0.669 0.064
Ga19 0.831 0.895 0.260
Ga20 0.136 0.395 0.064
Ga21 0.364 0.928 0.760
Ga22 0.564 0.636 0.395
Ga23 0.936 0.831 0.572
Ga24 0.760 0.331 0.895
Ga25 0.436 0.364 0.605
Ga26 0.064 0.169 0.428
Ga27 0.240 0.669 0.105
Ga28 0.169 0.105 0.740
Ga29 0.636 0.072 0.240
Ga30 0.864 0.605 0.936
Ga31 0.572 0.331 0.936
Ga32 0.605 0.864 0.436
Ga33 0.895 0.831 0.760
Ga34 0.895 0.064 0.636
Ga35 0.864 0.260 0.428
Ga36 0.169 0.064 0.928
Ga37 0.636 0.564 0.895
Ga38 0.436 0.072 0.331
Ga39 0.260 0.395 0.831
Ga40 0.240 0.572 0.636
Ga41 0.936 0.105 0.864
Ga42 0.669 0.240 0.605
Ga43 0.428 0.760 0.864
Ga44 0.072 0.436 0.831
Ga45 0.395 0.260 0.331
Ga46 0.072 0.636 0.740
Ga47 0.669 0.428 0.564
Ga48 0.260 0.864 0.928

***

[6]
# GGA-PBE La2YSc, relaxed
# Magnetic moment ... 0.0 μB/cell
# Energy of formation from the pure elements ... 0.060 eV/atom
# Space-group type ... No. 129
# Energy above the lowest structure with this stoichiometry ... 0.08 eV per formula unit
data_La2YSc
_cell_length_a 5.162
_cell_length_b 5.162
_cell_length_c 9.795
_cell_angle_alpha 90.00
_cell_angle_beta 90.00
_cell_angle_gamma 90.00
_space_group_name_H-M_alt 'P 1'
_space_group_IT_number 1
_space_group_name_Hall 'P 1'
loop_
_atom_site_label
_atom_site_fract_x
_atom_site_fract_y
_atom_site_fract_z
La1 0.000 0.000 0.500
La2 0.500 0.500 0.500
La3 0.000 0.500 0.774
La4 0.500 0.000 0.226
Y1 0.000 0.500 0.231
Y2 0.500 0.000 0.769
Sc1 0.000 0.000 0.000
Sc2 0.500 0.500 0.000

***

[7]
# GGA-PBE PrSmCdOs, relaxed
# Magnetic moment ... 0.0 μB/cell
# Energy of formation from the pure elements ... -0.063 eV/atom
# Space-group type ... No. 216
data_PrSmCdOs
_cell_length_a 5.171
_cell_length_b 5.171
_cell_length_c 5.171
_cell_angle_alpha 60.00
_cell_angle_beta 60.00
_cell_angle_gamma 60.00
_space_group_name_H-M_alt 'P 1'
_space_group_IT_number 1
_space_group_name_Hall 'P 1'
loop_
_atom_site_label
_atom_site_fract_x
_atom_site_fract_y
_atom_site_fract_z
Pr1 0.500 0.500 0.500
Os1 0.250 0.250 0.250
Sm1 0.000 0.000 0.000
Cd1 0.750 0.750 0.750

***

[8]
# GGA-PBE AlReW3, relaxed
# Magnetic moment ... 0.0 μB/cell
# Energy of formation from the pure elements ... 1.959 eV/atom
# Space-group type ... No. 221
# Energy above the lowest structure with this stoichiometry ... 0.06 eV per formula unit
data_AlReW3
_cell_length_a 4.752
_cell_length_b 4.752
_cell_length_c 4.752
_cell_angle_alpha 90.00
_cell_angle_beta 90.00
_cell_angle_gamma 90.00
_space_group_name_H-M_alt 'P 1'
_space_group_IT_number 1
_space_group_name_Hall 'P 1'
loop_
_atom_site_label
_atom_site_fract_x
_atom_site_fract_y
_atom_site_fract_z
Re1 0.000 0.000 0.000
Al1 0.500 0.500 0.500
W1 0.000 0.500 0.000
W2 0.000 0.000 0.500
W3 0.500 0.000 0.000

***

[9]
# GGA-PBE CaZnGa2Fe, relaxed
# Magnetic moment ... 0.1 μB/cell
# Energy of formation from the pure elements ... -0.226 eV/atom
# Space-group type ... No. 123
data_CaZnGa2Fe
_cell_length_a 4.563
_cell_length_b 4.563
_cell_length_c 4.693
_cell_angle_alpha 90.00
_cell_angle_beta 90.00
_cell_angle_gamma 90.00
_space_group_name_H-M_alt 'P 1'
_space_group_IT_number 1
_space_group_name_Hall 'P 1'
loop_
_atom_site_label
_atom_site_fract_x
_atom_site_fract_y
_atom_site_fract_z
Zn1 0.000 0.000 0.500
Ca1 0.500 0.500 0.500
Fe1 0.000 0.000 0.000
Ga1 0.000 0.500 0.000
Ga2 0.500 0.000 0.000

***

[10]
# GGA-PBE Rb2TiAg, relaxed
# Magnetic moment ... 6.1 μB/cell
# Energy of formation from the pure elements ... 0.815 eV/atom
# Space-group type ... No. 122
# Energy above the lowest structure with this stoichiometry ... 0.00 eV per formula unit
data_Rb2TiAg
_cell_length_a 12.891
_cell_length_b 12.891
_cell_length_c 9.502
_cell_angle_alpha 47.28
_cell_angle_beta 47.28
_cell_angle_gamma 90.00
_space_group_name_H-M_alt 'P 1'
_space_group_IT_number 1
_space_group_name_Hall 'P 1'
loop_
_atom_site_label
_atom_site_fract_x
_atom_site_fract_y
_atom_site_fract_z
Rb1 0.779 0.125 0.250
Rb2 0.971 0.625 0.250
Rb3 0.375 0.221 0.750
Rb4 0.875 0.029 0.750
Ag1 0.000 0.000 0.000
Ag2 0.750 0.250 0.500
Ti1 0.500 0.500 0.000
Ti2 0.250 0.750 0.500